(1)
MnMo2Rh: optimized geometry, PBE.

Unit cell a=4.799 b=4.799 c=4.799 alpha=133.15 beta=132.95 gamma=68.57
Each line ends with the local moment (μB).
Fractional coordinates of all 4 atoms:
Mn: 0.250 0.750 0.500  2.33
Mo: 0.000 0.000 0.000  -0.23
Mo: 0.500 0.500 0.000  -0.23
Rh: 0.750 0.250 0.500  -0.05

Values from the calculation:
As for the spin magnetization: 1.9 μB/f.u. The space-group type is No. 71. As for the total energy: -38.16 eV/cell. As for the volume: 14.49 A^3/atom.

(2)
MnMo5Rh6: optimized geometry, PBE.

Unit cell a=3.886 b=7.764 c=6.138 alpha=90.00 beta=71.54 gamma=90.00
Each line ends with the local moment (μB).
Fractional coordinates of all 12 atoms:
Rh: 0.833 0.248 0.333  -0.02
Rh: 0.833 0.752 0.333  -0.02
Rh: 0.500 0.247 0.000  0.00
Rh: 0.167 0.752 0.667  -0.02
Rh: 0.500 0.753 0.000  0.00
Rh: 0.167 0.248 0.667  -0.02
Mo: 0.332 0.500 0.336  -0.08
Mo: 0.668 0.500 0.664  -0.08
Mo: 0.666 0.000 0.668  -0.18
Mo: 0.000 0.500 0.000  0.11
Mo: 0.334 0.000 0.332  -0.18
Mn: 0.000 0.000 0.000  2.88

Values from the calculation:
As for the spin magnetization: 2.4 μB/f.u. The space-group type is No. 65. As for the total energy: -109.38 eV/cell. As for the volume: 14.64 A^3/atom.

(3)
MnMoRh3: optimized geometry, PBE.

Unit cell a=4.413 b=4.413 c=4.413 alpha=90.00 beta=90.00 gamma=90.00
Each line ends with the local moment (μB).
Fractional coordinates of all 5 atoms:
Rh: 0.000 0.000 0.500  0.02
Rh: 0.500 0.000 0.000  0.15
Rh: 0.000 0.500 0.000  0.14
Mn: 0.000 0.000 0.000  0.70
Mo: 0.500 0.500 0.500  2.59

Values from the calculation:
As for the spin magnetization: 4.1 μB/f.u. The space-group type is No. 221. As for the total energy: -36.28 eV/cell. As for the volume: 17.18 A^3/atom.

(4)
MnMoRh4: optimized geometry, PBE.

Unit cell a=6.903 b=5.244 c=4.767 alpha=90.00 beta=90.00 gamma=83.85
Each line ends with the local moment (μB).
Fractional coordinates of all 12 atoms:
Rh: 0.830 0.419 0.416  -0.24
Rh: 0.170 0.581 0.584  -0.24
Rh: 0.170 0.081 0.416  -0.24
Rh: 0.332 0.412 0.088  -0.20
Rh: 0.668 0.088 0.088  -0.20
Rh: 0.668 0.588 0.912  -0.20
Rh: 0.830 0.919 0.584  -0.24
Rh: 0.332 0.912 0.912  -0.20
Mn: 0.500 0.250 0.593  3.22
Mn: 0.500 0.750 0.407  3.22
Mo: 0.000 0.750 0.084  -0.08
Mo: 0.000 0.250 0.916  -0.08

Values from the calculation:
As for the spin magnetization: 2.3 μB/f.u. The space-group type is No. 13. As for the total energy: -100.33 eV/cell. As for the volume: 14.30 A^3/atom.

(5)
MnMoRh: optimized geometry, PBE.

Unit cell a=2.733 b=2.733 c=6.649 alpha=90.00 beta=90.00 gamma=120.00
Each line ends with the local moment (μB).
Fractional coordinates of all 3 atoms:
Rh: 0.333 0.667 0.673  0.00
Mo: 0.667 0.333 0.332  -0.28
Mn: 0.000 0.000 0.995  2.67

Values from the calculation:
As for the spin magnetization: 2.4 μB/f.u. The space-group type is No. 156. As for the total energy: -27.07 eV/cell. As for the volume: 14.33 A^3/atom.

(6)
MnMoRuRh: optimized geometry, PBE.

Unit cell a=4.356 b=4.356 c=4.356 alpha=60.00 beta=60.00 gamma=60.00
Each line ends with the local moment (μB).
Fractional coordinates of all 4 atoms:
Mn: 0.500 0.500 0.500  3.58
Ru: 0.750 0.750 0.750  0.45
Mo: 0.000 0.000 0.000  -0.18
Rh: 0.250 0.250 0.250  0.29

Values from the calculation:
As for the spin magnetization: 4.3 μB/f.u. The space-group type is No. 216. As for the total energy: -36.42 eV/cell. As for the volume: 14.61 A^3/atom.

(7)
TaMnMoRh: optimized geometry, PBE.

Unit cell a=4.424 b=4.424 c=4.424 alpha=60.00 beta=60.00 gamma=60.00
Each line ends with the local moment (μB).
Fractional coordinates of all 4 atoms:
Ta: 0.000 0.000 0.000  0.06
Rh: 0.750 0.750 0.750  0.24
Mo: 0.250 0.250 0.250  -0.45
Mn: 0.500 0.500 0.500  3.05

Values from the calculation:
As for the spin magnetization: 2.9 μB/f.u. The space-group type is No. 216. As for the total energy: -39.77 eV/cell. As for the volume: 15.31 A^3/atom.

(8)
TiMnMoRh: optimized geometry, PBE.

Unit cell a=4.340 b=4.340 c=4.340 alpha=60.00 beta=60.00 gamma=60.00
Each line ends with the local moment (μB).
Fractional coordinates of all 4 atoms:
Rh: 0.750 0.750 0.750  0.27
Ti: 0.000 0.000 0.000  -0.10
Mo: 0.250 0.250 0.250  -0.71
Mn: 0.500 0.500 0.500  2.74

Values from the calculation:
As for the spin magnetization: 2.2 μB/f.u. The space-group type is No. 216. As for the total energy: -36.38 eV/cell. As for the volume: 14.45 A^3/atom.

(9)
MnTl2MoRh: optimized geometry, PBE.

Unit cell a=5.096 b=5.096 c=4.722 alpha=90.00 beta=90.00 gamma=90.00
Each line ends with the local moment (μB).
Fractional coordinates of all 5 atoms:
Tl: 0.000 0.500 0.000  0.00
Tl: 0.500 0.000 0.000  0.00
Mo: 0.000 0.000 0.500  -0.25
Mn: 0.500 0.500 0.500  0.27
Rh: 0.000 0.000 0.000  0.03

Values from the calculation:
As for the spin magnetization: 0.1 μB/f.u. The space-group type is No. 123. As for the total energy: -23.72 eV/cell. As for the volume: 24.52 A^3/atom.

(10)
MnVMoRh: optimized geometry, PBE.

Unit cell a=4.292 b=4.292 c=4.292 alpha=60.00 beta=60.00 gamma=60.00
Each line ends with the local moment (μB).
Fractional coordinates of all 4 atoms:
Rh: 0.500 0.500 0.500  0.26
Mn: 0.250 0.250 0.250  2.83
V: 0.750 0.750 0.750  0.41
Mo: 0.000 0.000 0.000  -0.51

Values from the calculation:
As for the spin magnetization: 3.1 μB/f.u. The space-group type is No. 216. As for the total energy: -36.98 eV/cell. As for the volume: 13.97 A^3/atom.

(11)
MnMoRh2W: optimized geometry, PBE.

Unit cell a=4.387 b=4.389 c=4.387 alpha=90.00 beta=90.00 gamma=90.00
Each line ends with the local moment (μB).
Fractional coordinates of all 5 atoms:
Rh: 0.000 0.000 0.500  0.07
Rh: 0.500 0.000 0.000  0.10
W: 0.500 0.500 0.500  1.21
Mo: 0.000 0.500 0.000  -0.46
Mn: 0.000 0.000 0.000  0.99

Values from the calculation:
As for the spin magnetization: 2.2 μB/f.u. The space-group type is No. 123. As for the total energy: -41.11 eV/cell. As for the volume: 16.89 A^3/atom.

(12)
MnMoRhW: optimized geometry, PBE.

Unit cell a=4.389 b=4.389 c=4.389 alpha=60.00 beta=60.00 gamma=60.00
Each line ends with the local moment (μB).
Fractional coordinates of all 4 atoms:
Mo: 0.750 0.750 0.750  -0.24
Rh: 0.250 0.250 0.250  0.35
Mn: 0.000 0.000 0.000  3.18
W: 0.500 0.500 0.500  0.24

Values from the calculation:
As for the spin magnetization: 3.7 μB/f.u. The space-group type is No. 216. As for the total energy: -40.10 eV/cell. As for the volume: 14.95 A^3/atom.

(13)
Y2MnMoRh: optimized geometry, PBE.

Unit cell a=5.148 b=4.384 c=5.148 alpha=90.00 beta=90.00 gamma=90.00
Each line ends with the local moment (μB).
Fractional coordinates of all 5 atoms:
Y: 0.500 0.000 0.000  -0.05
Y: 0.000 0.000 0.500  -0.08
Mn: 0.000 0.000 0.000  1.23
Rh: 0.000 0.500 0.000  0.04
Mo: 0.500 0.500 0.500  2.75

Values from the calculation:
As for the spin magnetization: 4.3 μB/f.u. The space-group type is No. 123. As for the total energy: -36.43 eV/cell. As for the volume: 23.24 A^3/atom.

(14)
MnMoRu2: optimized geometry, PBE.

Unit cell a=2.723 b=4.682 c=5.393 alpha=54.30 beta=90.00 gamma=90.00
Each line ends with the local moment (μB).
Fractional coordinates of all 4 atoms:
Mo: 0.000 0.000 0.500  -0.33
Ru: 0.500 0.500 0.000  0.00
Ru: 0.000 0.000 0.000  -0.22
Mn: 0.500 0.500 0.500  2.03

Values from the calculation:
As for the spin magnetization: 1.5 μB/f.u. The space-group type is No. 10. As for the total energy: -38.18 eV/cell. As for the volume: 13.96 A^3/atom.

(15)
MnMoRu2: optimized geometry, PBE.

Unit cell a=4.694 b=4.694 c=4.653 alpha=80.45 beta=80.45 gamma=33.70
Each line ends with the local moment (μB).
Fractional coordinates of all 4 atoms:
Ru: 0.996 0.996 0.009  -0.13
Ru: 0.251 0.251 0.251  -0.10
Mn: 0.503 0.503 0.492  2.04
Mo: 0.750 0.750 0.749  -0.22

Values from the calculation:
As for the spin magnetization: 1.6 μB/f.u. The space-group type is No. 8. As for the total energy: -38.14 eV/cell. As for the volume: 14.00 A^3/atom.